First-principles (PBE-GGA) data for a geometry-optimized TmGaAu structure, as listed in the Open Quantum Materials Database. Values from VASP.

Cell and atoms, written as Quantum ESPRESSO input:
```
&SYSTEM
  ibrav = 0, nat = 3, ntyp = 3
/
ATOMIC_SPECIES
Au 196.97 Au.upf
Ga 69.72 Ga.upf
Tm 168.93 Tm.upf
ATOMIC_POSITIONS crystal
Au 0.2500 0.2500 0.2500
Ga 0.7500 0.7500 0.7500
Tm 0.0000 0.0000 0.0000
CELL_PARAMETERS angstrom
0.0000 3.3325 3.3325
3.3325 0.0000 3.3325
3.3325 3.3325 0.0000
```

- total magnetization (Bohr magnetons per cell) = 0.00
- uncorrected energy (eV per atom) = -3.82